Below is a relaxed structure of TmNiSn, with properties calculated at the PBE level.

Lattice parameters (Å, degrees): 7.7884 4.5030 7.6385 90.00 109.96 90.00
Closest atoms and distances in Å follow each position.
Space group C2/m (No. 12)
Unique sites:
Tm1 0.2382 0.0000 0.2152 [4 per cell]  4 Ni 2.74-2.93, 3 Sn 3.02
Ni1 0.1342 0.5000 0.4034 [4 per cell]  4 Sn 2.69-2.90, 4 Tm 2.74-2.93, 3 Ni 2.94-2.95
Sn1 0.0000 0.0000 0.5000 [2 per cell]  6 Ni 2.69
Sn2 0.0000 0.5000 0.0000 [2 per cell]  2 Ni 2.90, 6 Tm 3.02

Computed properties:
Density (g cm⁻³): 9.14
Formation energy from the elements (kJ/mol of formula units): -159